The following is a DFT calculation (PBE-GGA) of a relaxed structure of CrAuI2.

Cell and atoms, written as CIF:
```
data_CrAuI2
_cell_length_a 6.4977
_cell_length_b 6.4977
_cell_length_c 13.1576
_cell_angle_alpha 90.00
_cell_angle_beta 90.00
_cell_angle_gamma 90.00
_space_group_name_H-M_alt 'I -4 2 d'
_space_group_IT_number 122
_space_group_name_Hall 'I -4 2bw'
loop_
_atom_site_label
_atom_site_type_symbol
_atom_site_fract_x
_atom_site_fract_y
_atom_site_fract_z
Cr1 Cr 0.0000 0.0000 0.0000
Au1 Au 0.0000 0.0000 0.5000
I1 I 0.2435 0.2500 0.1250
```

Magnetic moment, μB/f.u.: 4.97
Raw total energy, eV/atom: -3.8151
Energy above the most stable polymorph in this dataset, meV/atom: 0

***

The following is a DFT calculation (PBE-GGA) of a relaxed structure of Cr3AuI.

Cell and atoms, written as CIF:
```
data_Cr3AuI
_cell_length_a 5.1307
_cell_length_b 5.1307
_cell_length_c 5.1307
_cell_angle_alpha 90.00
_cell_angle_beta 90.00
_cell_angle_gamma 90.00
_space_group_name_H-M_alt 'P m -3 m'
_space_group_IT_number 221
_space_group_name_Hall '-P 4 2 3'
loop_
_atom_site_label
_atom_site_type_symbol
_atom_site_fract_x
_atom_site_fract_y
_atom_site_fract_z
Cr1 Cr 0.0000 0.0000 0.5000
Au1 Au 0.0000 0.0000 0.0000
I1 I 0.5000 0.5000 0.5000
```

Magnetic moment, μB/f.u.: 13.55
Raw total energy, eV/atom: -5.6678
Energy above the most stable polymorph in this dataset, meV/atom: 0

***

The following is a DFT calculation (PBE-GGA) of a relaxed structure of Cr2AuI4.

Cell and atoms, written as CIF:
```
data_Cr2AuI4
_cell_length_a 5.7237
_cell_length_b 5.7237
_cell_length_c 14.5535
_cell_angle_alpha 90.00
_cell_angle_beta 90.00
_cell_angle_gamma 90.00
_space_group_name_H-M_alt 'I 4/m m m'
_space_group_IT_number 139
_space_group_name_Hall '-I 4 2'
loop_
_atom_site_label
_atom_site_type_symbol
_atom_site_fract_x
_atom_site_fract_y
_atom_site_fract_z
Cr1 Cr 0.0000 0.0000 0.0978
Au1 Au 0.0000 0.0000 0.5000
I1 I 0.0000 0.0000 0.2766
I2 I 0.0000 0.5000 0.0000
```

Magnetic moment, μB/f.u.: 8.92
Raw total energy, eV/atom: -3.8322

***

The following is a DFT calculation (PBE-GGA) of a relaxed structure of CrAu2I.

Cell and atoms, written as CIF:
```
data_CrAu2I
_cell_length_a 7.0145
_cell_length_b 7.0145
_cell_length_c 7.0145
_cell_angle_alpha 90.00
_cell_angle_beta 90.00
_cell_angle_gamma 90.00
_space_group_name_H-M_alt 'F m -3 m'
_space_group_IT_number 225
_space_group_name_Hall '-F 4 2 3'
loop_
_atom_site_label
_atom_site_type_symbol
_atom_site_fract_x
_atom_site_fract_y
_atom_site_fract_z
Cr1 Cr 0.0000 0.0000 0.0000
Au1 Au 0.2500 0.2500 0.2500
I1 I 0.0000 0.0000 0.5000
```

Magnetic moment, μB/f.u.: 4.52
Raw total energy, eV/atom: -3.8526
Energy above the most stable polymorph in this dataset, meV/atom: 173

***

The following is a DFT calculation (PBE-GGA) of a relaxed structure of CrAu2I6.

Cell and atoms, written as CIF:
```
data_CrAu2I6
_cell_length_a 15.5912
_cell_length_b 12.6758
_cell_length_c 7.2463
_cell_angle_alpha 90.00
_cell_angle_beta 90.94
_cell_angle_gamma 90.00
_space_group_name_H-M_alt 'C 1 2/c 1'
_space_group_IT_number 15
_space_group_name_Hall '-C 2yc'
loop_
_atom_site_label
_atom_site_type_symbol
_atom_site_fract_x
_atom_site_fract_y
_atom_site_fract_z
Cr1 Cr 0.0000 0.0793 0.2500
Au1 Au 0.1014 0.4247 0.2568
I1 I 0.0983 0.0674 0.5692
I2 I 0.1097 0.2280 0.1123
I3 I 0.1226 0.3848 0.6245
```

Magnetic moment, μB/f.u.: 2.85
Raw total energy, eV/atom: -2.9866

***

The following is a DFT calculation (PBE-GGA) of a relaxed structure of CrAu2I.

Cell and atoms, written as CIF:
```
data_CrAu2I
_cell_length_a 8.1489
_cell_length_b 8.1489
_cell_length_c 5.4639
_cell_angle_alpha 90.00
_cell_angle_beta 90.00
_cell_angle_gamma 90.00
_space_group_name_H-M_alt 'I -4 2 d'
_space_group_IT_number 122
_space_group_name_Hall 'I -4 2bw'
loop_
_atom_site_label
_atom_site_type_symbol
_atom_site_fract_x
_atom_site_fract_y
_atom_site_fract_z
Cr1 Cr 0.0000 0.0000 0.0000
Au1 Au 0.2220 0.2500 0.1250
I1 I 0.0000 0.0000 0.5000
```

Magnetic moment, μB/f.u.: 3.55
Raw total energy, eV/atom: -4.0252
Energy above the most stable polymorph in this dataset, meV/atom: 0

***

The following is a DFT calculation (PBE-GGA) of a relaxed structure of CrAuI2.

Cell and atoms, written as CIF:
```
data_CrAuI2
_cell_length_a 7.5080
_cell_length_b 7.5080
_cell_length_c 7.5080
_cell_angle_alpha 90.00
_cell_angle_beta 90.00
_cell_angle_gamma 90.00
_space_group_name_H-M_alt 'F m -3 m'
_space_group_IT_number 225
_space_group_name_Hall '-F 4 2 3'
loop_
_atom_site_label
_atom_site_type_symbol
_atom_site_fract_x
_atom_site_fract_y
_atom_site_fract_z
Cr1 Cr 0.0000 0.0000 0.0000
Au1 Au 0.0000 0.0000 0.5000
I1 I 0.2500 0.2500 0.2500
```

Magnetic moment, μB/f.u.: 4.54
Raw total energy, eV/atom: -3.4709
Energy above the most stable polymorph in this dataset, meV/atom: 344

***

The following is a DFT calculation (PBE-GGA) of a relaxed structure of Cr2AuI2.

Cell and atoms, written as CIF:
```
data_Cr2AuI2
_cell_length_a 7.2654
_cell_length_b 7.2654
_cell_length_c 4.2154
_cell_angle_alpha 90.00
_cell_angle_beta 90.00
_cell_angle_gamma 90.00
_space_group_name_H-M_alt 'P 4/m b m'
_space_group_IT_number 127
_space_group_name_Hall '-P 4 2ab'
loop_
_atom_site_label
_atom_site_type_symbol
_atom_site_fract_x
_atom_site_fract_y
_atom_site_fract_z
Cr1 Cr 0.0905 0.4095 0.0000
Au1 Au 0.0000 0.0000 0.0000
I1 I 0.1669 0.6669 0.5000
```

Magnetic moment, μB/f.u.: 1.14
Raw total energy, eV/atom: -4.4189
Energy above the most stable polymorph in this dataset, meV/atom: 38